The following is a PBE+U calculation of a geometry-optimized TlCrN2O structure, from the Alexandria database.

Lattice parameters (Å, degrees): 3.741 3.741 4.166 90.00 90.00 90.00
Sites, in units of the cell vectors:
Cr: 0.000 0.000 0.000
Tl: 0.500 0.500 0.500
O: 0.000 0.000 0.500
N: 0.000 0.500 0.000
N: 0.500 0.000 0.000

Computed properties:
Total DFT energy (no corrections) (eV/f.u.): -28.38
Crystal system: tetragonal
Calculated density (Mg/m³): 8.55
Space group: P4/mmm, No. 123